Entry 1:
# MgMnCrRu | Alexandria via LeMat-Bulk | PBE | optimized geometry
data_MgMnCrRu
_cell_length_a 4.275
_cell_length_b 4.275
_cell_length_c 4.275
_cell_angle_alpha 60.00
_cell_angle_beta 60.00
_cell_angle_gamma 60.00
_space_group_name_H-M_alt 'P 1'
_space_group_IT_number 1
loop_
_space_group_symop_operation_xyz
'x,y,z'
loop_
_atom_site_label
_atom_site_fract_x
_atom_site_fract_y
_atom_site_fract_z
Mg1 0.000 0.000 0.000
Mn1 0.750 0.750 0.750
Cr1 0.500 0.500 0.500
Ru1 0.250 0.250 0.250
# Uncorrected energy ... -7.262 eV per atom

=====

Entry 2:
# MgMnCrS4 | Alexandria via LeMat-Bulk | PBE | optimized geometry
data_MgMnCrS4
_cell_length_a 7.265
_cell_length_b 7.265
_cell_length_c 7.265
_cell_angle_alpha 120.62
_cell_angle_beta 120.26
_cell_angle_gamma 89.23
_space_group_name_H-M_alt 'P 1'
_space_group_IT_number 1
loop_
_space_group_symop_operation_xyz
'x,y,z'
loop_
_atom_site_label
_atom_site_fract_x
_atom_site_fract_y
_atom_site_fract_z
Mg1 0.379 0.129 0.250
Mg2 0.621 0.871 0.750
Mn1 0.000 0.000 0.500
Mn2 0.000 0.500 0.000
Cr1 0.000 0.500 0.500
Cr2 0.500 0.500 0.000
S1 0.209 0.733 0.476
S2 0.241 0.268 0.526
S3 0.241 0.715 0.974
S4 0.244 0.267 0.976
S5 0.756 0.733 0.024
S6 0.759 0.285 0.026
S7 0.759 0.732 0.474
S8 0.791 0.267 0.524
# Uncorrected energy ... -6.098 eV per atom